[1]
DFT (PBE) results for a relaxed structure of NaLi2Lu.

Lattice parameters (Å, degrees): 3.5233 3.5233 8.3718 90.00 90.00 90.00
With the nearest neighbours (Å) after each atom.
Fractional positions:
Na 0.0000 0.0000 0.0000  8 Li 3.26, 4 Na 3.52
Li 0.5000 0.5000 0.2503  4 Lu 3.25, 4 Na 3.26, 4 Li 3.52
Li 0.5000 0.5000 0.7497  4 Lu 3.25, 4 Na 3.26, 4 Li 3.52
Lu 0.0000 0.0000 0.5000  8 Li 3.25, 4 Lu 3.52

Its final energy is -0.0826 hartree per atom. The value obtained for the total magnetic moment is 0.00 μB/f.u. As for the energy above the lowest structure with this stoichiometry: 0.000 eV/atom. The value obtained for the energy of formation is 0.171 eV per atom.

=====

[2]
DFT (PBE) results for a relaxed structure of Ac2Pr3Ni2.

Lattice parameters (Å, degrees): 6.5357 6.5357 9.4851 111.00 111.00 34.73
With the nearest neighbours (Å) after each atom.
Fractional positions:
Ac 0.1690 0.1690 0.2983  2 Ni 3.01
Ac 0.8310 0.8310 0.7017  2 Ni 3.01
Pr 0.3825 0.3825 0.0803  2 Ni 2.86
Pr 0.5000 0.5000 0.5000  4 Ni 2.97
Pr 0.6175 0.6175 0.9197  2 Ni 2.86
Ni 0.1527 0.1527 0.7203  4 Pr 2.86-2.97, 2 Ac 3.01
Ni 0.8473 0.8473 0.2797  4 Pr 2.86-2.97, 2 Ac 3.01

Its final energy is -0.1849 hartree per atom. The value obtained for the total magnetic moment is 0.00 μB/f.u. The value obtained for the energy of formation is -0.158 eV per atom.

=====

[3]
DFT (PBE) results for a relaxed structure of CaRe2Ni.

Lattice parameters (Å, degrees): 5.2524 5.2524 5.2524 144.30 124.62 67.65
With the nearest neighbours (Å) after each atom.
Fractional positions:
Ca 0.0000 0.0000 0.0000  4 Ni 2.87-3.15, 8 Re 2.92-3.04
Re 0.4949 0.4949 0.0000  2 Re 2.46, 2 Ni 2.52
Re 0.7077 0.2077 0.5000  2 Re 2.46
Ni 0.2727 0.7727 0.5000  2 Re 2.52

Its final energy is -0.2774 hartree per atom. The value obtained for the total magnetic moment is 0.00 μB/f.u. As for the energy above the lowest structure with this stoichiometry: 0.354 eV/atom. The value obtained for the energy of formation is 0.621 eV per atom.

=====

[4]
DFT (PBE) results for a relaxed structure of CuGe2PbS6.

Lattice parameters (Å, degrees): 8.7166 8.7166 6.8337 105.53 105.53 85.34
With the nearest neighbours (Å) after each atom.
Fractional positions:
Cu 0.2097 0.7903 0.7500  4 S 2.28-2.38
Cu 0.7903 0.2097 0.2500  4 S 2.28-2.38
Ge 0.2256 0.3740 0.3043  4 S 2.25-2.29
Ge 0.3740 0.2256 0.8043  4 S 2.25-2.29
Ge 0.6260 0.7744 0.1957  4 S 2.25-2.29
Ge 0.7744 0.6260 0.6957  4 S 2.25-2.29
Pb 0.1453 0.8547 0.2500  6 S 2.87-3.03
Pb 0.8547 0.1453 0.7500  6 S 2.87-3.03
S 0.0434 0.1792 0.1740  1 Ge 2.25, 1 Cu 2.38
S 0.1153 0.6066 0.4403  1 Ge 2.25, 1 Cu 2.28
S 0.1792 0.0434 0.6740  1 Ge 2.25, 1 Cu 2.38
S 0.2975 0.4370 0.0373  2 Ge 2.27-2.29
S 0.3934 0.8847 0.0597  1 Ge 2.25, 1 Cu 2.28
S 0.4370 0.2975 0.5373  2 Ge 2.27-2.29
S 0.5630 0.7025 0.4627  2 Ge 2.27-2.29
S 0.6066 0.1153 0.9403  1 Ge 2.25, 1 Cu 2.28
S 0.7025 0.5630 0.9627  2 Ge 2.27-2.29
S 0.8208 0.9566 0.3260  1 Ge 2.25, 1 Cu 2.38
S 0.8847 0.3934 0.5597  1 Ge 2.25, 1 Cu 2.28
S 0.9566 0.8208 0.8260  1 Ge 2.25, 1 Cu 2.38

Its final energy is -0.1623 hartree per atom. The value obtained for the total magnetic moment is 0.00 μB/f.u.

=====

[5]
DFT (PBE) results for a relaxed structure of BeHg3F6.

Lattice parameters (Å, degrees): 5.9861 5.4542 10.3984 90.00 121.10 90.00
With the nearest neighbours (Å) after each atom.
Fractional positions:
Be 0.0000 0.0000 0.0000  2 F 1.62
Be 0.0000 0.5000 0.5000  2 F 1.62
Hg 0.2548 0.0992 0.7826  6 F 2.31-2.51
Hg 0.2548 0.4008 0.2826  6 F 2.31-2.51
Hg 0.5000 0.0000 0.5000  6 F 2.71-3.02, 2 Hg 2.94
Hg 0.5000 0.5000 0.0000  6 F 2.71-3.02, 2 Hg 2.94
Hg 0.7452 0.5992 0.7174  6 F 2.31-2.51
Hg 0.7452 0.9008 0.2174  6 F 2.31-2.51
F 0.0252 0.7435 0.1282  1 Be 1.88
F 0.0252 0.7565 0.6282  1 Be 1.88
F 0.1036 0.6768 0.4162  1 Be 1.62
F 0.1036 0.8232 0.9162  1 Be 1.62
F 0.3558 0.0993 0.1442  1 Be 1.94
F 0.3558 0.4007 0.6442  1 Be 1.94
F 0.6442 0.5993 0.3558  1 Be 1.94
F 0.6442 0.9007 0.8558  1 Be 1.94
F 0.8964 0.1768 0.0838  1 Be 1.62
F 0.8964 0.3232 0.5838  1 Be 1.62
F 0.9748 0.2435 0.3718  1 Be 1.88
F 0.9748 0.2565 0.8718  1 Be 1.88

Its final energy is -0.1200 hartree per atom. The value obtained for the total magnetic moment is 0.00 μB/f.u.

=====

[6]
DFT (PBE) results for a relaxed structure of AgTe2Cl.

Lattice parameters (Å, degrees): 7.4310 7.4310 7.4310 32.93 32.93 32.93
With the nearest neighbours (Å) after each atom.
Fractional positions:
Ag 0.0000 0.0000 0.0000  6 Te 2.80
Te 0.2670 0.2670 0.2670  3 Ag 2.80
Te 0.7330 0.7330 0.7330  3 Ag 2.80
Cl 0.5000 0.5000 0.5000  6 Te 3.22

Its final energy is -0.1015 hartree per atom. The value obtained for the total magnetic moment is 0.00 μB/f.u.

=====

[7]
DFT (PBE) results for a relaxed structure of Al2In2Ni.

Lattice parameters (Å, degrees): 6.4576 6.4576 4.7017 90.00 90.00 90.00
With the nearest neighbours (Å) after each atom.
Fractional positions:
Al 0.1543 0.3457 0.0000  2 Ni 2.44
Al 0.3457 0.8457 0.0000  2 Ni 2.44
Al 0.6543 0.1543 0.0000  2 Ni 2.44
Al 0.8457 0.6543 0.0000  2 Ni 2.44
In 0.1703 0.6703 0.5000  6 Al 2.84-3.15, 1 In 3.11
In 0.3297 0.1703 0.5000  6 Al 2.84-3.15, 1 In 3.11
In 0.6703 0.8297 0.5000  6 Al 2.84-3.15, 1 In 3.11
In 0.8297 0.3297 0.5000  6 Al 2.84-3.15, 1 In 3.11
Ni 0.0000 0.0000 0.0000  4 Al 2.44
Ni 0.5000 0.5000 0.0000  4 Al 2.44

Its final energy is -0.1343 hartree per atom. The value obtained for the total magnetic moment is 0.00 μB/f.u. The value obtained for the energy of formation is 0.094 eV per atom.